This record from Alexandria describes crystalline BaIn2AgPb at its relaxed geometry. The functional is PBE.

Computed properties:
For the final energy, the calculation gives -15.64 eV/cell. The calculation puts the density of states at the Fermi level at 2.40 states/eV/f.u.

Cell and atoms, written as extended XYZ:
```
5
Lattice="-2.990 -3.753 1.182 0.244 -1.665 -4.670 6.284 -0.736 3.228" Properties=species:S:1:pos:R:3 pbc="T T T"
In 0.474 -0.332 0.143
In 0.478 -3.260 1.188
Ba 4.327 -3.036 1.308
Ag 1.827 -4.954 -0.776
Pb 2.052 -2.187 -1.751
```